[1]
Density functional theory data (GGA-PBE) for a geometry-optimized RbSbSe3 structure.

It has space group Pm-3m (No. 221), with a = 5.946 Å, b = 5.946 Å, c = 5.946 Å, α = 90.00°, β = 90.00° and γ = 90.00°. The distinct sites, in fractional coordinates, are Rb at (0.000, 0.000, 0.000), Sb at (0.500, 0.500, 0.500) and Se at (0.000, 0.000, 0.500).

Its total moment is 2.00 μB/cell. Its total energy is -1.972 eV per atom. The distance to the lowest polymorph of the same formula is 1.6315 eV per atom. The calculation puts the raw formation energy at 1.14 eV/atom.

[2]
Density functional theory data (GGA-PBE) for a geometry-optimized Rb5SbSe5 structure.

It has space group C2/m (No. 12), with a = 15.497 Å, b = 6.556 Å, c = 9.282 Å, α = 90.00°, β = 109.94° and γ = 90.00°. The distinct sites, in fractional coordinates, are Rb at (0.000, 0.000, 0.000), Rb at (0.166, 0.500, 0.338), Rb at (0.193, 0.500, 0.798), Sb at (0.000, 0.000, 0.500), Se at (0.000, 0.500, 0.500), Se at (0.128, 0.000, 0.368) and Se at (0.135, 0.000, 0.780).

Its total moment is 0.21 μB/cell. Its total energy is -3.113 eV per atom. The calculation puts the raw formation energy at -0.71 eV/atom.